[1]
Below is a geometry-optimized SbW2Cl structure, with properties calculated at the PBE-GGA level.

Cell lengths 4.6059, 4.6059, 4.6059 Å; angles 60.00, 60.00, 60.00 degrees
With the nearest neighbours (Å) after each atom.
Positions (direct):
Sb: 0.0000 0.0000 0.0000  8 W 2.82
W: 0.2500 0.2500 0.2500  4 Cl 2.82, 4 Sb 2.82
W: 0.7500 0.7500 0.7500  4 Sb 2.82, 4 Cl 2.82
Cl: 0.5000 0.5000 0.5000  8 W 2.82

Properties
Total DFT energy (no corrections) (eV/atom): -6.92
Spin magnetization (Bohr magnetons per cell): 0.0
V (Å³ per atom): 17.273
Energy relative to the elements, uncorrected (kcal/mol of atoms): 24.188

=====

[2]
Below is a geometry-optimized RbNbTeO6 structure, with properties calculated at the PBE-GGA level.

Cell lengths 5.3973, 5.3973, 12.6929 Å; angles 90.00, 90.00, 120.00 degrees
With the nearest neighbours (Å) after each atom.
Positions (direct):
Rb: 0.0000 0.0000 0.0000  6 O 2.97
Rb: 0.0000 0.0000 0.5000  6 O 2.97
Nb: 0.3333 0.6667 0.2500  6 O 2.03
Nb: 0.6667 0.3333 0.7500  6 O 2.03
Te: 0.3333 0.6667 0.7500  6 O 1.96
Te: 0.6667 0.3333 0.2500  6 O 1.96
O: 0.0092 0.3999 0.6622  1 Te 1.96, 1 Nb 2.03
O: 0.0092 0.6093 0.8378  1 Te 1.96, 1 Nb 2.03
O: 0.3907 0.3999 0.8378  1 Te 1.96, 1 Nb 2.03
O: 0.3907 0.9908 0.6622  1 Te 1.96, 1 Nb 2.03
O: 0.3999 0.0092 0.1622  1 Te 1.96, 1 Nb 2.03
O: 0.3999 0.3907 0.3378  1 Te 1.96, 1 Nb 2.03
O: 0.6001 0.6093 0.6622  1 Te 1.96, 1 Nb 2.03
O: 0.6001 0.9908 0.8378  1 Te 1.96, 1 Nb 2.03
O: 0.6093 0.0092 0.3378  1 Te 1.96, 1 Nb 2.03
O: 0.6093 0.6001 0.1622  1 Te 1.96, 1 Nb 2.03
O: 0.9908 0.3907 0.1622  1 Te 1.96, 1 Nb 2.03
O: 0.9908 0.6001 0.3378  1 Te 1.96, 1 Nb 2.03

Properties
Total DFT energy (no corrections) (eV/atom): -6.67
Spin magnetization (Bohr magnetons per cell): 0.0
V (Å³ per atom): 17.790
Energy relative to the elements, uncorrected (kcal/mol of atoms): -41.193

=====

[3]
Below is a geometry-optimized LiTb2F7 structure, with properties calculated at the PBE-GGA level.

Cell lengths 10.5278, 10.5278, 10.5278 Å; angles 21.72, 21.72, 21.72 degrees
With the nearest neighbours (Å) after each atom.
Positions (direct):
Li: 0.0000 0.0000 0.0000  8 F 2.33-2.42
Tb: 0.4278 0.4278 0.4278  8 F 2.14-2.36
Tb: 0.5722 0.5722 0.5722  8 F 2.14-2.36
F: 0.0756 0.0756 0.0756  1 Li 2.33, 3 Tb 2.36, 3 F 2.52
F: 0.2233 0.2233 0.2233  3 Tb 2.34, 3 F 2.52
F: 0.3585 0.3585 0.3585  1 Tb 2.14
F: 0.5000 0.5000 0.5000  2 Tb 2.23
F: 0.6415 0.6415 0.6415  1 Tb 2.14
F: 0.7767 0.7767 0.7767  3 Tb 2.34, 3 F 2.52
F: 0.9244 0.9244 0.9244  1 Li 2.33, 3 Tb 2.36, 3 F 2.52

Properties
Total DFT energy (no corrections) (eV/atom): -6.25
Spin magnetization (Bohr magnetons per cell): 0.1
V (Å³ per atom): 14.001
Energy relative to the elements, uncorrected (kcal/mol of atoms): -88.157

=====

[4]
Below is a geometry-optimized Rb3Te2H structure, with properties calculated at the PBE-GGA level.

Cell lengths 14.8145, 4.3015, 15.2078 Å; angles 90.00, 90.00, 90.00 degrees
With the nearest neighbours (Å) after each atom.
Positions (direct):
Rb: 0.0402 0.2500 0.1167  1 H 3.06
Rb: 0.1276 0.7500 0.5332  1 H 3.06
Rb: 0.2270 0.2500 0.8016  4 Te 3.60-3.93
Rb: 0.2730 0.7500 0.3016  4 Te 3.60-3.93
Rb: 0.3724 0.2500 0.0332  1 H 3.06
Rb: 0.4598 0.7500 0.6167  1 H 3.06
Rb: 0.5402 0.2500 0.3833  1 H 3.06
Rb: 0.6276 0.7500 0.9668  1 H 3.06
Rb: 0.7270 0.2500 0.6984  4 Te 3.60-3.93
Rb: 0.7730 0.7500 0.1984  4 Te 3.60-3.93
Rb: 0.8724 0.2500 0.4668  1 H 3.06
Rb: 0.9598 0.7500 0.8833  1 H 3.06
Te: 0.0083 0.7500 0.3150  2 H 2.15
Te: 0.1845 0.7500 0.9871  7 Rb 3.59-3.68
Te: 0.3155 0.2500 0.4871  7 Rb 3.59-3.68
Te: 0.4917 0.2500 0.8150  2 H 2.15
Te: 0.5083 0.7500 0.1850  2 H 2.15
Te: 0.6845 0.7500 0.5129  7 Rb 3.59-3.68
Te: 0.8155 0.2500 0.0129  7 Rb 3.59-3.68
Te: 0.9917 0.2500 0.6850  2 H 2.15
H: 0.0077 0.2500 0.3152  2 Te 2.15
H: 0.4923 0.7500 0.8152  2 Te 2.15
H: 0.5077 0.2500 0.1848  2 Te 2.15
H: 0.9923 0.7500 0.6848  2 Te 2.15

Properties
Total DFT energy (no corrections) (eV/atom): -2.74
Spin magnetization (Bohr magnetons per cell): 0.0
V (Å³ per atom): 40.379

=====

[5]
Below is a geometry-optimized KRe2Ru structure, with properties calculated at the PBE-GGA level.

Cell lengths 2.8032, 4.7846, 5.0558 Å; angles 90.00, 90.00, 90.00 degrees
With the nearest neighbours (Å) after each atom.
Positions (direct):
K: 0.0000 0.0000 0.0000  4 Ru 2.77, 2 K 2.80, 4 Re 2.89
Re: 0.0000 0.5000 0.5000  6 Re 2.77-2.80, 4 Ru 2.89
Re: 0.5000 0.0000 0.5000  6 Re 2.77-2.80, 4 K 2.89
Ru: 0.5000 0.5000 0.0000  4 K 2.77, 2 Ru 2.80, 4 Re 2.89

Properties
Total DFT energy (no corrections) (eV/atom): -7.27
Spin magnetization (Bohr magnetons per cell): 0.7
V (Å³ per atom): 16.952
Energy of formation from the pure elements (eV per atom): 1.543

=====

[6]
Below is a geometry-optimized Ca2Bi3Pb2 structure, with properties calculated at the PBE-GGA level.

Cell lengths 10.2385, 10.2385, 10.2385 Å; angles 30.45, 30.45, 30.45 degrees
With the nearest neighbours (Å) after each atom.
Positions (direct):
Ca: 0.1241 0.1241 0.1241  6 Bi 3.34-3.47
Ca: 0.8759 0.8759 0.8759  6 Bi 3.34-3.47
Bi: 0.2623 0.2623 0.2623  4 Pb 3.22-3.31, 3 Ca 3.47
Bi: 0.5000 0.5000 0.5000  6 Ca 3.34, 2 Pb 3.65
Bi: 0.7377 0.7377 0.7377  4 Pb 3.22-3.31, 3 Ca 3.47
Pb: 0.3753 0.3753 0.3753  4 Bi 3.22-3.31
Pb: 0.6247 0.6247 0.6247  4 Bi 3.22-3.31

Properties
Total DFT energy (no corrections) (eV/atom): -3.66
Spin magnetization (Bohr magnetons per cell): 0.0
V (Å³ per atom): 34.902
Energy of formation from the pure elements (eV per atom): -0.370